Record 1
VASP calculation (PBE-GGA) on a relaxed structure of YBrO2F.

Structure (POSCAR):
```
YBrO2F
1.0
4.0450 0.0000 0.0000
0.0000 4.0450 0.0000
0.0000 0.0000 4.8901
Y Br O F
1 1 2 1
Cartesian
0.0000 0.0000 0.0000
2.0225 2.0225 2.4451
0.0000 2.0225 2.4451
2.0225 0.0000 2.4451
2.0225 2.0225 0.0000
```

Results
- Space group: P4/mmm
- ρ: 4.562 g cm⁻³
- Uncorrected formation energy: -0.7014 eV/atom

***

Record 2
VASP calculation (PBE-GGA) on a relaxed structure of Sc3ReSe.

Structure (POSCAR):
```
Sc3ReSe
1.0
4.8453 0.0000 0.0000
0.0000 4.8453 0.0000
0.0000 0.0000 4.8453
Sc Re Se
3 1 1
Cartesian
0.0000 0.0000 2.4227
0.0000 2.4227 0.0000
2.4227 0.0000 0.0000
2.4227 2.4227 2.4227
0.0000 0.0000 0.0000
```

Results
- Space group: Pm-3m
- Energy above the most stable polymorph in this dataset: 0.121 eV/atom
- ρ: 5.840 g cm⁻³
- Uncorrected formation energy: 0.2301 eV/atom

***

Record 3
VASP calculation (PBE-GGA) on a relaxed structure of TlGeCl3.

Structure (POSCAR):
```
TlGeCl3
1.0
4.7189 0.0000 0.0000
-2.3595 4.0867 0.0000
0.0000 0.0000 17.1918
Tl Ge Cl
2 2 6
Cartesian
0.0000 0.0000 0.0000
0.0000 0.0000 8.5959
0.0000 2.7245 4.2980
2.3595 1.3622 12.8939
0.0000 0.0000 4.2980
0.0000 0.0000 12.8939
0.0000 2.7245 1.7483
0.0000 2.7245 6.8476
2.3595 1.3622 10.3442
2.3595 1.3622 15.4435
```

Results
- Space group: P6_3/mmc
- ρ: 3.840 g cm⁻³
- Uncorrected formation energy: -0.8023 eV/atom

***

Record 4
VASP calculation (PBE-GGA) on a relaxed structure of SnHg4H.

Structure (POSCAR):
```
SnHg4H
1.0
4.6467 -5.8432 0.0000
4.6467 5.8432 0.0000
-2.1507 0.0000 5.1812
Sn Hg H
2 8 2
Cartesian
4.6467 3.1852 0.0000
4.6467 -3.1852 0.0000
0.3254 1.5814 3.6118
1.2753 0.0000 1.0808
0.3254 -1.5814 3.6118
3.5713 1.5805 2.5906
3.5713 -1.5805 2.5906
6.8172 1.5814 1.5694
5.8674 0.0000 4.1004
6.8172 -1.5814 1.5694
4.4223 0.0000 0.3061
2.7203 0.0000 4.8751
```

Results
- Space group: C2/m
- ρ: 10.884 g cm⁻³
- E: -16.1 eV for the cell shown

***

Record 5
VASP calculation (PBE-GGA) on a relaxed structure of KSr2Er.

Structure (POSCAR):
```
KSr2Er
1.0
1.9411 1.1207 14.7390
-1.9411 1.1207 14.7390
0.0000 -2.2414 14.7390
K Sr Er
1 2 1
Cartesian
0.0000 0.0000 0.0000
0.0000 0.0000 18.5712
0.0000 0.0000 25.6458
0.0000 0.0000 22.1085
```

Results
- Space group: R-3m
- Formation enthalpy at 0 K: 0.403 eV/atom
- ρ: 3.294 g cm⁻³

***

Record 6
VASP calculation (PBE-GGA) on a relaxed structure of SiSb2.

Structure (POSCAR):
```
SiSb2
1.0
6.2110 -2.0014 0.0000
6.2110 2.0014 0.0000
-1.2755 0.0000 6.3071
Si Sb
2 4
Cartesian
2.0864 0.0000 0.9384
9.0602 0.0000 5.3688
1.0759 0.0000 4.5722
4.7370 0.0000 4.8765
6.4096 0.0000 1.4306
10.0707 0.0000 1.7349
```

Results
- Space group: C2/m
- Energy above the most stable polymorph in this dataset: 0.066 eV/atom
- ρ: 5.752 g cm⁻³
- Uncorrected formation energy: 0.2472 eV/atom

***

Record 7
VASP calculation (PBE-GGA) on a relaxed structure of Ta3TiBi.

Structure (POSCAR):
```
Ta3TiBi
1.0
5.0864 0.0000 0.0000
0.0000 5.0864 0.0000
0.0000 0.0000 5.0864
Ta Ti Bi
3 1 1
Cartesian
0.0000 0.0000 2.5432
0.0000 2.5432 0.0000
2.5432 0.0000 0.0000
2.5432 2.5432 2.5432
0.0000 0.0000 0.0000
```

Results
- Space group: Pm-3m
- Formation enthalpy at 0 K: 2.246 eV/atom
- Energy above the most stable polymorph in this dataset: 0.960 eV/atom
- ρ: 10.091 g cm⁻³

***

Record 8
VASP calculation (PBE-GGA) on a relaxed structure of Ac2NpGe2N6.

Structure (POSCAR):
```
Ac2NpGe2N6
1.0
2.9976 1.7306 5.7564
-2.9976 1.7306 5.7564
0.0000 -3.4613 5.7564
Ac Np Ge N
2 1 2 6
Cartesian
0.0000 0.0000 3.6710
0.0000 0.0000 13.5982
0.0000 0.0000 0.0000
0.0000 0.0000 7.4700
0.0000 0.0000 9.7993
-1.5787 -0.9115 10.0975
0.0000 -1.8230 7.1718
-1.5787 0.9115 7.1718
1.5787 -0.9115 10.0975
0.0000 1.8230 10.0975
1.5787 0.9115 7.1718
```

Results
- Space group: R-3m
- ρ: 8.529 g cm⁻³
- Uncorrected formation energy: -0.6331 eV/atom